(1)
An optimized crystal structure of Cu7SnSb2Au2. Source: Alexandria, functional PBE.

Cell and atoms, written as extended XYZ:
```
12
Lattice="2.880 -2.857 0.000 2.880 2.857 0.000 -0.011 0.000 12.099" Properties=species:S:1:pos:R:3 pbc="T T T"
Cu 0.000 0.000 0.000
Cu 1.436 1.430 10.282
Cu 1.280 0.000 6.049
Cu 4.312 1.430 1.817
Cu 1.436 -1.430 10.282
Cu 4.469 0.000 6.050
Cu 4.312 -1.430 1.817
Sn 2.880 0.000 0.000
Sb 2.871 0.000 3.936
Sb 2.878 0.000 8.163
Au -0.003 0.000 8.421
Au 5.752 0.000 3.678
```

Summary:
- Raw formation energy: 81.8 meV/atom
- Magnetization: 0.00 μB per cell
- DFT total energy: -3.8745 eV per atom

---

(2)
An optimized crystal structure of CeN2O. Source: Alexandria, functional PBE.

Cell and atoms, written as extended XYZ:
```
8
Lattice="4.319 0.000 0.000 -2.160 3.741 0.000 0.000 0.000 6.194" Properties=species:S:1:pos:R:3 pbc="T T T"
Ce 0.000 2.494 1.548
Ce 2.160 1.247 4.645
N 0.000 2.494 4.039
N 0.000 2.494 5.252
N 2.160 1.247 0.942
N 2.160 1.247 2.155
O 0.000 0.000 1.548
O 0.000 0.000 4.645
```

Summary:
- Raw formation energy: -1153.8 meV/atom
- Magnetization: 0.00 μB per cell
- DFT total energy: -8.0395 eV per atom

---

(3)
An optimized crystal structure of GaReSb2I. Source: Alexandria, functional PBE.

Cell and atoms, written as extended XYZ:
```
5
Lattice="5.105 0.000 0.000 0.000 5.105 0.000 0.000 0.000 6.093" Properties=species:S:1:pos:R:3 pbc="T T T"
Ga 0.000 0.000 0.000
Re 2.552 2.552 3.046
Sb 0.000 2.552 3.046
Sb 2.552 0.000 3.046
I 2.552 2.552 0.000
```

Summary:
- Raw formation energy: 593.9 meV/atom
- Offset from the most stable computed form: 0.000 eV/atom
- Magnetization: 0.00 μB per cell
- DFT total energy: -4.4601 eV per atom

---

(4)
An optimized crystal structure of TbAl2Re. Source: Alexandria, functional PBE.

Cell and atoms, written as extended XYZ:
```
12
Lattice="3.038 0.000 0.000 -1.519 2.631 0.000 0.000 0.000 28.233" Properties=species:S:1:pos:R:3 pbc="T T T"
Tb 0.000 0.000 0.000
Tb 0.000 1.754 18.822
Tb 1.519 0.877 9.411
Al 0.000 0.000 6.678
Al 0.000 0.000 21.555
Al 0.000 1.754 12.144
Al 0.000 1.754 25.500
Al 1.519 0.877 2.733
Al 1.519 0.877 16.089
Re 0.000 0.000 14.117
Re 0.000 1.754 4.706
Re 1.519 0.877 23.528
```

Summary:
- Magnetization: 0.00 μB per cell
- Energy relative to the elements: 9 kJ per mole of atoms
- DFT total energy: -6.0429 eV per atom

---

(5)
An optimized crystal structure of Hg2Sb. Source: Alexandria, functional PBE.

Cell and atoms, written as extended XYZ:
```
12
Lattice="3.619 0.000 0.000 0.000 15.581 0.000 0.000 0.000 5.588" Properties=species:S:1:pos:R:3 pbc="T T T"
Hg 0.000 1.140 1.397
Hg 0.000 6.425 1.397
Hg 0.000 9.156 4.191
Hg 0.000 14.441 4.191
Hg 1.809 1.365 4.191
Hg 1.809 6.651 4.191
Hg 1.809 8.931 1.397
Hg 1.809 14.216 1.397
Sb 0.000 4.041 4.191
Sb 0.000 11.540 1.397
Sb 1.809 3.749 1.397
Sb 1.809 11.832 4.191
```

Summary:
- Raw formation energy: 140.5 meV/atom
- Offset from the most stable computed form: 0.044 eV/atom
- Magnetization: 0.00 μB per cell
- DFT total energy: -1.4348 eV per atom

---

(6)
An optimized crystal structure of Ac2TlGaO5. Source: Alexandria, functional PBE.

Cell and atoms, written as extended XYZ:
```
18
Lattice="7.216 0.000 0.000 0.000 7.216 0.000 0.000 0.000 5.953" Properties=species:S:1:pos:R:3 pbc="T T T"
Ac 1.319 2.289 0.000
Ac 2.289 5.897 0.000
Ac 4.927 1.319 0.000
Ac 5.897 4.927 0.000
Tl 0.000 0.000 2.977
Tl 3.608 3.608 2.977
Ga 0.000 3.608 2.977
Ga 3.608 0.000 2.977
O 0.000 0.000 0.000
O 0.921 4.529 1.565
O 0.921 4.529 4.388
O 2.687 0.921 1.565
O 2.687 0.921 4.388
O 3.608 3.608 0.000
O 4.529 6.295 1.565
O 4.529 6.295 4.388
O 6.295 2.687 1.565
O 6.295 2.687 4.388
```

Summary:
- Raw formation energy: -2322.7 meV/atom
- Magnetization: 0.00 μB per cell
- DFT total energy: -6.5894 eV per atom

---

(7)
An optimized crystal structure of PtAu2Cl. Source: Alexandria, functional PBE.

Cell and atoms, written as extended XYZ:
```
16
Lattice="6.624 0.000 0.000 0.000 6.624 0.000 0.000 0.000 6.624" Properties=species:S:1:pos:R:3 pbc="T T T"
Pt 0.000 0.000 0.000
Pt 0.000 3.312 3.312
Pt 3.312 0.000 3.312
Pt 3.312 3.312 0.000
Au 1.656 1.656 1.656
Au 1.656 1.656 4.968
Au 1.656 4.968 1.656
Au 1.656 4.968 4.968
Au 4.968 1.656 1.656
Au 4.968 1.656 4.968
Au 4.968 4.968 1.656
Au 4.968 4.968 4.968
Cl 0.000 0.000 3.312
Cl 0.000 3.312 0.000
Cl 3.312 0.000 0.000
Cl 3.312 3.312 3.312
```

Summary:
- Raw formation energy: 462.3 meV/atom
- Offset from the most stable computed form: 0.303 eV/atom
- Magnetization: 0.00 μB per cell
- DFT total energy: -3.1483 eV per atom

---

(8)
An optimized crystal structure of Cs2NaCd. Source: Alexandria, functional PBE.

Cell and atoms, written as extended XYZ:
```
12
Lattice="5.686 0.000 0.000 -2.843 4.924 0.000 0.000 0.000 28.649" Properties=species:S:1:pos:R:3 pbc="T T T"
Cs 0.000 0.000 0.000
Cs 0.000 0.000 5.208
Cs 0.000 3.283 19.099
Cs 0.000 3.283 24.307
Cs 2.843 1.641 9.550
Cs 2.843 1.641 14.758
Na 0.000 0.000 21.714
Na 0.000 3.283 12.164
Na 2.843 1.641 2.614
Cd 0.000 0.000 12.144
Cd 0.000 3.283 2.595
Cd 2.843 1.641 21.694
```

Summary:
- Magnetization: 0.00 μB per cell
- Energy relative to the elements: -1 kJ per mole of atoms
- DFT total energy: -0.9997 eV per atom

---

Q: Which value of DFT total energy does entry 6 give?
A: -6.5894 eV per atom